# 1
This record from Alexandria via LeMat-Bulk describes an optimized crystal structure of TbGa2Ag. The functional is GGA-PBE.

```
4
Lattice="3.4045 0.0000 0.0000 0.0000 3.4045 0.0000 0.0000 0.0000 6.9381" Properties=species:S:1:pos:R:3 pbc="T T T"
Tb 0.0000 0.0000 0.0000
Ga 1.7023 1.7023 1.9814
Ga 1.7023 1.7023 4.9567
Ag 0.0000 0.0000 3.4691
```

Properties
E in eV/atom: -3.6696

---

# 2
This record from Alexandria via LeMat-Bulk describes an optimized crystal structure of KPu4O8. The functional is GGA-PBE.

```
13
Lattice="0.0000 5.0077 5.0077 5.0077 0.0000 5.0077 5.0077 5.0077 0.0000" Properties=species:S:1:pos:R:3 pbc="T T T"
K 0.0000 0.0000 0.0000
Pu 6.2529 3.7626 3.7626
Pu 3.7626 6.2529 3.7626
Pu 3.7626 3.7626 6.2529
Pu 6.2529 6.2529 6.2529
O 4.0176 4.0176 4.0176
O 5.9979 5.9979 4.0176
O 5.9979 4.0176 5.9979
O 8.5145 6.5087 6.5087
O 4.0176 5.9979 5.9979
O 6.5087 8.5145 6.5087
O 6.5087 6.5087 8.5145
O 8.5145 8.5145 8.5145
```

Properties
Raw formation energy in eV/atom: -2.7950
ΔE to the lowest computed polymorph in meV/atom: 26

---

# 3
This record from Alexandria via LeMat-Bulk describes an optimized crystal structure of LuBPt2. The functional is GGA-PBE.

```
12
Lattice="5.2880 0.0000 0.0000 -2.6440 4.5796 0.0000 0.0000 0.0000 7.9521" Properties=species:S:1:pos:R:3 pbc="T T T"
Lu -1.3220 2.2898 1.3253
Lu 2.6440 0.0000 3.9760
Lu 1.3220 2.2898 6.6267
B -1.3220 2.2898 5.3014
B 2.6440 0.0000 0.0000
B 1.3220 2.2898 2.6507
Pt 0.0000 1.3914 3.9760
Pt -1.4390 3.8838 6.6267
Pt 1.2050 0.6957 1.3253
Pt 1.4390 3.8838 1.3253
Pt 4.0830 0.6957 6.6267
Pt 2.6440 3.1881 3.9760
```

Properties
E in eV/atom: -6.8438